Entry 1:
Tm2LuSi after structural relaxation. Source: the Alexandria database, functional GGA-PBE.

```
Tm2LuSi
1.0
1.774 1.024 9.849
-1.774 1.024 9.849
0.000 -2.049 9.849
Tm Lu Si
2 1 1
Cartesian
0.000 0.000 6.910 Tm
0.000 0.000 22.636 Tm
0.000 0.000 0.000 Lu
0.000 0.000 14.773 Si
```

* space-group type: R-3m
* calculated total energy: -4.86 eV/atom
* M_tot: 0.161 μB per atom



Entry 2:
LuUSi4 after structural relaxation. Source: the Alexandria database, functional GGA-PBE.

```
LuUSi4
1.0
0.000 3.701 3.701
3.701 0.000 3.701
3.701 3.701 0.000
Lu U Si
1 1 4
Cartesian
0.000 0.000 0.000 Lu
5.552 5.552 5.552 U
2.762 2.762 2.762 Si
4.641 4.641 2.762 Si
4.641 2.762 4.641 Si
2.762 4.641 4.641 Si
```

* space-group type: F-43m
* calculated total energy: -6.43 eV/atom
* M_tot: 0.395 μB per atom